Entry 1:
## Ho2Tl2Zn (PBE)

Data for Ho2Tl2Zn after structural relaxation.

Results
SG = C2/m (12)
Total magnetic moment = 0.00 μB/f.u.
D(E_F) = 6.89 states/eV/cell
Electronic total energy = -3.309 eV/atom
Energy relative to the elements = -1.38 eV/f.u.

a b c (Å): 6.060 6.060 10.893
angles (deg): 114.20 114.20 44.81
Sites, in units of the cell vectors:
Ho 0.011 0.011 0.330
Ho 0.178 0.178 0.100
Ho 0.822 0.822 0.900
Ho 0.989 0.989 0.670
Tl 0.347 0.347 0.443
Tl 0.463 0.463 0.118
Tl 0.537 0.537 0.882
Tl 0.653 0.653 0.557
Zn 0.277 0.277 0.685
Zn 0.723 0.723 0.315

---

Entry 2:
## PmNi4Ir (PBE)

Data for PmNi4Ir after structural relaxation.

Results
SG = F-43m (216)
Total magnetic moment = 2.01 μB/f.u.
D(E_F) = 10.03 states/eV/cell
Electronic total energy = -6.262 eV/atom
Energy relative to the elements = -0.84 eV/f.u.

a b c (Å): 4.929 4.929 4.929
angles (deg): 60.00 60.00 60.00
Sites, in units of the cell vectors:
Pm 0.000 0.000 0.000
Ni 0.130 0.623 0.623
Ni 0.623 0.130 0.623
Ni 0.623 0.623 0.130
Ni 0.623 0.623 0.623
Ir 0.250 0.250 0.250

---

Entry 3:
## TcNi2Au (PBE)

Data for TcNi2Au after structural relaxation.

Results
SG = Cmmm (65)
Total magnetic moment = 0.02 μB/f.u.
D(E_F) = 6.46 states/eV/cell
Electronic total energy = -6.058 eV/atom
Energy relative to the elements = 0.97 eV/f.u.

a b c (Å): 4.600 4.600 2.677
angles (deg): 90.00 90.00 106.61
Sites, in units of the cell vectors:
Tc 0.000 0.000 0.000
Ni 0.000 0.500 0.500
Ni 0.500 0.000 0.500
Au 0.500 0.500 0.000

---

Entry 4:
## MnPdPt14 (PBE)

Data for MnPdPt14 after structural relaxation.

Results
SG = P4/mmm (123)
Total magnetic moment = 4.22 μB/f.u.
D(E_F) = 27.03 states/eV/cell
Electronic total energy = -6.282 eV/atom
Energy relative to the elements = -1.57 eV/f.u.

a b c (Å): 5.645 5.645 7.787
angles (deg): 90.00 90.00 90.00
Sites, in units of the cell vectors:
Mn 0.000 0.000 0.000
Pd 0.500 0.500 0.000
Pt 0.000 0.000 0.500
Pt 0.000 0.500 0.000
Pt 0.000 0.500 0.500
Pt 0.248 0.248 0.246
Pt 0.248 0.248 0.754
Pt 0.248 0.752 0.246
Pt 0.248 0.752 0.754
Pt 0.500 0.000 0.000
Pt 0.500 0.000 0.500
Pt 0.500 0.500 0.500
Pt 0.752 0.248 0.246
Pt 0.752 0.248 0.754
Pt 0.752 0.752 0.246
Pt 0.752 0.752 0.754

---

Entry 5:
## NpBRu2 (PBE)

Data for NpBRu2 after structural relaxation.

Results
SG = R-3m (166)
Total magnetic moment = 2.68 μB/f.u.
D(E_F) = 3.89 states/eV/cell
Electronic total energy = -9.519 eV/atom
Energy relative to the elements = 0.10 eV/f.u.

a b c (Å): 7.817 7.817 7.817
angles (deg): 21.57 21.57 21.57
Sites, in units of the cell vectors:
Np 0.000 0.000 0.000
B 0.500 0.500 0.500
Ru 0.223 0.223 0.223
Ru 0.777 0.777 0.777

---

Entry 6:
## GaSb3Ru (PBE)

Data for GaSb3Ru after structural relaxation.

Results
SG = Pm-3m (221)
Total magnetic moment = 1.62 μB/f.u.
D(E_F) = 5.35 states/eV/cell
Electronic total energy = -3.690 eV/atom

a b c (Å): 5.137 5.137 5.137
angles (deg): 90.00 90.00 90.00
Sites, in units of the cell vectors:
Ga 0.000 0.000 0.000
Sb 0.000 0.000 0.500
Sb 0.000 0.500 0.000
Sb 0.500 0.000 0.000
Ru 0.500 0.500 0.500

---

Entry 7:
## SrZn6Au12 (PBE)

Data for SrZn6Au12 after structural relaxation.

Results
SG = R-3m (166)
Total magnetic moment = 0.00 μB/f.u.
D(E_F) = 8.15 states/eV/cell
Electronic total energy = -2.774 eV/atom
Energy relative to the elements = -4.04 eV/f.u.

a b c (Å): 7.465 7.465 7.465
angles (deg): 104.60 104.60 104.60
Sites, in units of the cell vectors:
Sr 0.000 0.000 0.000
Zn 0.282 0.282 0.694
Zn 0.282 0.694 0.282
Zn 0.306 0.718 0.718
Zn 0.694 0.282 0.282
Zn 0.718 0.306 0.718
Zn 0.718 0.718 0.306
Au 0.118 0.500 0.882
Au 0.118 0.882 0.500
Au 0.131 0.383 0.383
Au 0.383 0.131 0.383
Au 0.383 0.383 0.131
Au 0.500 0.118 0.882
Au 0.500 0.882 0.118
Au 0.617 0.617 0.869
Au 0.617 0.869 0.617
Au 0.869 0.617 0.617
Au 0.882 0.118 0.500
Au 0.882 0.500 0.118

---

Entry 8:
## ZrIrCl (PBE)

Data for ZrIrCl after structural relaxation.

Results
SG = P4/nmm (129)
Total magnetic moment = 0.00 μB/f.u.
D(E_F) = 2.59 states/eV/cell
Electronic total energy = -7.310 eV/atom

a b c (Å): 3.116 3.116 12.506
angles (deg): 90.00 90.00 90.00
Sites, in units of the cell vectors:
Zr 0.250 0.250 0.211
Zr 0.750 0.750 0.789
Ir 0.250 0.250 0.923
Ir 0.750 0.750 0.077
Cl 0.250 0.250 0.647
Cl 0.750 0.750 0.353

---

Entry 9:
## Sb2TePtF (PBE)

Data for Sb2TePtF after structural relaxation.

Results
SG = P4/mmm (123)
Total magnetic moment = 0.48 μB/f.u.
D(E_F) = 8.66 states/eV/cell
Electronic total energy = -3.692 eV/atom

a b c (Å): 5.239 5.239 5.389
angles (deg): 90.00 90.00 90.00
Sites, in units of the cell vectors:
Sb 0.000 0.500 0.000
Sb 0.500 0.000 0.000
Te 0.000 0.000 0.500
Pt 0.000 0.000 0.000
F 0.500 0.500 0.500

---

Entry 10:
## Th2GaFe (PBE)

Data for Th2GaFe after structural relaxation.

Results
SG = P4/mmm (123)
Total magnetic moment = 0.92 μB/f.u.
D(E_F) = 3.46 states/eV/cell
Electronic total energy = -6.719 eV/atom
Energy relative to the elements = -0.55 eV/f.u.

a b c (Å): 3.500 3.500 7.576
angles (deg): 90.00 90.00 90.00
Sites, in units of the cell vectors:
Th 0.000 0.000 0.224
Th 0.000 0.000 0.776
Ga 0.500 0.500 0.500
Fe 0.500 0.500 0.000

---

Entry 11:
## Ho5Al3 (PBE)

Data for Ho5Al3 after structural relaxation.

Results
SG = I4/mcm (140)
Total magnetic moment = 0.00 μB/f.u.
D(E_F) = 13.69 states/eV/cell
Electronic total energy = -4.556 eV/atom
Energy relative to the elements = -2.33 eV/f.u.

a b c (Å): 8.948 8.948 8.948
angles (deg): 128.71 128.71 75.48
Sites, in units of the cell vectors:
Ho 0.000 0.000 0.000
Ho 0.020 0.520 0.838
Ho 0.182 0.020 0.500
Ho 0.318 0.818 0.838
Ho 0.480 0.318 0.500
Ho 0.500 0.500 0.000
Ho 0.520 0.682 0.500
Ho 0.682 0.182 0.162
Ho 0.818 0.980 0.500
Ho 0.980 0.480 0.162
Al 0.121 0.379 0.500
Al 0.250 0.250 0.000
Al 0.379 0.879 0.258
Al 0.621 0.121 0.742
Al 0.750 0.750 0.000
Al 0.879 0.621 0.500

---

Entry 12:
## CaFeSe (PBE)

Data for CaFeSe after structural relaxation.

Results
SG = F-43m (216)
Total magnetic moment = 2.18 μB/f.u.
D(E_F) = 0.40 states/eV/cell
Electronic total energy = -4.915 eV/atom

a b c (Å): 4.510 4.510 4.510
angles (deg): 60.00 60.00 60.00
Sites, in units of the cell vectors:
Ca 0.000 0.000 0.000
Fe 0.500 0.500 0.500
Se 0.250 0.250 0.250